1.
This record from Alexandria describes TiPdO3 after structural relaxation. The functional is PBE.

The structure in POSCAR format:
```
TiPdO3
1.0
3.840 0.000 0.000
0.000 3.840 0.000
0.000 0.000 3.840
Ti Pd O
1 1 3
Cartesian
0.000 0.000 0.000 Ti
1.920 1.920 1.920 Pd
0.000 0.000 1.920 O
0.000 1.920 0.000 O
1.920 0.000 0.000 O
```

Results
- Calculated volume: 11.32 Å³ per atom
- Space-group type: Pm-3m, No. 221

2.
This record from Alexandria describes Ti4Pd2O after structural relaxation. The functional is PBE.

The structure in POSCAR format:
```
Ti4Pd2O
1.0
0.000 5.870 5.870
5.870 0.000 5.870
5.870 5.870 0.000
Ti Pd O
16 8 4
Cartesian
0.000 0.000 0.000 Ti
2.935 2.935 0.000 Ti
2.935 0.000 2.935 Ti
4.403 4.403 2.304 Ti
4.403 2.304 4.403 Ti
6.501 4.403 4.403 Ti
7.338 7.338 5.240 Ti
7.338 5.240 7.338 Ti
9.436 7.338 7.338 Ti
0.000 2.935 2.935 Ti
2.304 4.403 4.403 Ti
4.403 6.501 4.403 Ti
4.403 4.403 6.501 Ti
5.240 7.338 7.338 Ti
7.338 9.436 7.338 Ti
7.338 7.338 9.436 Ti
9.230 5.446 5.446 Pd
2.510 2.510 2.510 Pd
6.295 6.295 2.510 Pd
6.295 2.510 6.295 Pd
5.446 9.230 5.446 Pd
5.446 5.446 9.230 Pd
9.230 9.230 9.230 Pd
2.510 6.295 6.295 Pd
5.870 2.935 2.935 O
2.935 5.870 2.935 O
2.935 2.935 5.870 O
5.870 5.870 5.870 O
```

Results
- Calculated volume: 14.45 Å³ per atom
- Space-group type: Fd-3m, No. 227

3.
This record from Alexandria describes Ti2PdO after structural relaxation. The functional is PBE.

The structure in POSCAR format:
```
Ti2PdO
1.0
1.492 0.861 6.739
-1.492 0.861 6.739
0.000 -1.723 6.739
Ti Pd O
2 1 1
Cartesian
0.000 0.000 0.000 Ti
0.000 0.000 4.281 Ti
0.000 0.000 15.625 Pd
0.000 0.000 12.223 O
```

Results
- Calculated volume: 12.99 Å³ per atom
- Space-group type: R3m, No. 160

4.
This record from Alexandria describes TiPdO after structural relaxation. The functional is PBE.

The structure in POSCAR format:
```
TiPdO
1.0
4.568 2.637 3.204
-4.568 2.637 3.204
0.000 -5.274 3.204
Ti Pd O
6 6 6
Cartesian
-3.305 0.739 4.264 Ti
-2.292 -2.493 5.349 Ti
1.013 -3.231 4.264 Ti
-1.013 3.231 5.349 Ti
2.292 2.493 4.264 Ti
3.305 -0.739 5.349 Ti
-1.089 -1.056 3.619 Pd
-0.370 1.471 3.619 Pd
-1.459 0.415 5.994 Pd
1.459 -0.415 3.619 Pd
0.370 -1.471 5.994 Pd
1.089 1.056 5.994 Pd
-1.099 -3.850 4.183 O
-3.884 -0.973 5.430 O
-2.785 2.877 4.183 O
2.785 -2.877 5.430 O
3.884 0.973 4.183 O
1.099 3.851 5.430 O
```

Results
- Calculated volume: 12.87 Å³ per atom
- Space-group type: R-3, No. 148

5.
This record from Alexandria describes Ti4PdO after structural relaxation. The functional is PBE.

The structure in POSCAR format:
```
Ti4PdO
1.0
3.491 -5.755 0.000
3.491 5.755 0.000
-2.120 0.000 4.535
Ti Pd O
8 2 2
Cartesian
0.786 3.237 4.091 Ti
-0.072 0.629 3.098 Ti
0.988 -0.629 0.831 Ti
3.015 3.237 2.711 Ti
1.846 -3.237 1.824 Ti
3.873 0.629 3.704 Ti
4.933 -0.629 1.437 Ti
4.075 -3.237 0.444 Ti
2.961 1.065 1.134 Pd
1.900 -1.065 3.401 Pd
1.900 4.964 3.401 O
2.961 -4.964 1.134 O
```

Results
- Calculated volume: 15.18 Å³ per atom
- Space-group type: C2/c, No. 15

6.
This record from Alexandria describes TiPd3O after structural relaxation. The functional is PBE.

The structure in POSCAR format:
```
TiPd3O
1.0
4.225 0.000 0.000
0.000 4.225 0.000
0.000 0.000 4.225
Ti Pd O
1 3 1
Cartesian
0.000 0.000 0.000 Ti
0.000 2.113 2.113 Pd
2.113 0.000 2.113 Pd
2.113 2.113 0.000 Pd
2.113 2.113 2.113 O
```

Results
- Calculated volume: 15.09 Å³ per atom
- Space-group type: Pm-3m, No. 221

| no. | raw formation energy (eV per atom) | energy (eV per atom) |
| --- | --- | --- |
| 1 | -1.4308 | -7.023 |
| 2 | -1.1018 | -7.805 |
| 3 | -1.4204 | -7.906 |
| 4 | -1.6197 | -7.635 |
| 5 | -0.8808 | -7.836 |
| 6 | -0.0353 | -5.722 |